(1)
Computed, not measured: a relaxed structure of BaAgSb2 at the PBE-GGA level of DFT.

* total energy: -3.656 eV per atom
* magnetic moment: 0.0 μB per formula unit
* symmetry: I-42d

abc: 10.2763 10.2763 10.2763
angles: 148.65 148.65 44.93
With the nearest neighbours (Å) after each atom.
Atoms (fractional coordinates):
Ba 0.0000 0.0000 0.0000  4 Sb 3.50
Ba 0.7500 0.2500 0.5000  4 Sb 3.50
Ag 0.2500 0.7500 0.5000  4 Sb 2.82
Ag 0.5000 0.5000 0.0000  4 Sb 2.82
Sb 0.2643 0.6250 0.1393  2 Ag 2.82, 2 Sb 3.04
Sb 0.3750 0.5143 0.6393  2 Ag 2.82, 2 Sb 3.04
Sb 0.4857 0.1250 0.8607  2 Ag 2.82, 2 Sb 3.04
Sb 0.8750 0.7357 0.3607  2 Ag 2.82, 2 Sb 3.04

=====

(2)
Computed, not measured: a relaxed structure of BaAgSb at the PBE-GGA level of DFT.

* total energy: -3.302 eV per atom
* magnetic moment: 0.0 μB per formula unit
* symmetry: I4mm

abc: 5.7657 5.7657 5.7657
angles: 131.59 131.59 70.88
With the nearest neighbours (Å) after each atom.
Atoms (fractional coordinates):
Ba 0.0000 0.0000 0.0000  5 Ag 3.30-3.62, 5 Sb 3.34-3.61
Ag 0.3512 0.3512 0.0000  1 Sb 2.75
Sb 0.6442 0.6442 0.0000  1 Ag 2.75

=====

(3)
Computed, not measured: a relaxed structure of Ba3Ag6Sb5 at the PBE-GGA level of DFT.

* total energy: -3.604 eV per atom
* magnetic moment: 0.0 μB per formula unit
* symmetry: Pmmn

abc: 4.7420 14.2134 11.6067
angles: 90.00 90.00 90.00
With the nearest neighbours (Å) after each atom.
Atoms (fractional coordinates):
Ba 0.2500 0.0844 0.2505  6 Sb 3.59-3.67, 7 Ag 3.59-3.76
Ba 0.2500 0.4156 0.2505  6 Sb 3.59-3.67, 7 Ag 3.59-3.76
Ba 0.2500 0.7500 0.2399  6 Sb 3.55-3.67, 10 Ag 3.65-3.87
Ba 0.7500 0.2500 0.7601  6 Sb 3.55-3.67, 10 Ag 3.65-3.87
Ba 0.7500 0.5844 0.7495  6 Sb 3.59-3.67, 7 Ag 3.59-3.76
Ba 0.7500 0.9156 0.7495  6 Sb 3.59-3.67, 7 Ag 3.59-3.76
Ag 0.2500 0.0710 0.6157  4 Sb 2.83-2.95, 1 Ag 2.89
Ag 0.2500 0.2500 0.0008  4 Sb 2.86-2.89
Ag 0.2500 0.2500 0.4968  2 Ag 2.89, 4 Sb 3.02
Ag 0.2500 0.4290 0.6157  4 Sb 2.83-2.95, 1 Ag 2.89
Ag 0.2500 0.5835 0.0005  4 Sb 2.86-2.88
Ag 0.2500 0.9165 0.0005  4 Sb 2.86-2.88
Ag 0.7500 0.0835 0.9995  4 Sb 2.86-2.88
Ag 0.7500 0.4165 0.9995  4 Sb 2.86-2.88
Ag 0.7500 0.5710 0.3843  4 Sb 2.83-2.95, 1 Ag 2.89
Ag 0.7500 0.7500 0.5032  2 Ag 2.89, 4 Sb 3.02
Ag 0.7500 0.7500 0.9992  4 Sb 2.86-2.89
Ag 0.7500 0.9290 0.3843  4 Sb 2.83-2.95, 1 Ag 2.89
Sb 0.2500 0.0824 0.8591  5 Ag 2.83-2.89
Sb 0.2500 0.4176 0.8591  5 Ag 2.83-2.89
Sb 0.2500 0.6182 0.5120  5 Ag 2.88-3.02
Sb 0.2500 0.7500 0.8618  4 Ag 2.86
Sb 0.2500 0.8818 0.5120  5 Ag 2.88-3.02
Sb 0.7500 0.1182 0.4880  5 Ag 2.88-3.02
Sb 0.7500 0.2500 0.1382  4 Ag 2.86
Sb 0.7500 0.3818 0.4880  5 Ag 2.88-3.02
Sb 0.7500 0.5824 0.1409  5 Ag 2.83-2.89
Sb 0.7500 0.9176 0.1409  5 Ag 2.83-2.89

=====

(4)
Computed, not measured: a relaxed structure of BaAg4Sb2 at the PBE-GGA level of DFT.

* total energy: -3.395 eV per atom
* magnetic moment: 0.0 μB per formula unit
* symmetry: P4_2/mnm

abc: 8.7185 8.7185 4.5596
angles: 90.00 90.00 90.00
With the nearest neighbours (Å) after each atom.
Atoms (fractional coordinates):
Ba 0.0000 0.0000 0.0000  6 Sb 3.46-3.54, 12 Ag 3.84-3.88
Ba 0.5000 0.5000 0.5000  6 Sb 3.46-3.54, 12 Ag 3.84-3.88
Ag 0.0858 0.3494 0.5000  3 Sb 2.89-2.91, 5 Ag 3.02-3.12
Ag 0.1506 0.5858 0.0000  3 Sb 2.89-2.91, 5 Ag 3.02-3.12
Ag 0.3494 0.0858 0.5000  3 Sb 2.89-2.91, 5 Ag 3.02-3.12
Ag 0.4142 0.8494 0.0000  3 Sb 2.89-2.91, 5 Ag 3.02-3.12
Ag 0.5858 0.1506 0.0000  3 Sb 2.89-2.91, 5 Ag 3.02-3.12
Ag 0.6506 0.9142 0.5000  3 Sb 2.89-2.91, 5 Ag 3.02-3.12
Ag 0.8494 0.4142 0.0000  3 Sb 2.89-2.91, 5 Ag 3.02-3.12
Ag 0.9142 0.6506 0.5000  3 Sb 2.89-2.91, 5 Ag 3.02-3.12
Sb 0.2191 0.7809 0.5000  6 Ag 2.89-2.91
Sb 0.2809 0.2809 0.0000  6 Ag 2.89-2.91
Sb 0.7191 0.7191 0.0000  6 Ag 2.89-2.91
Sb 0.7809 0.2191 0.5000  6 Ag 2.89-2.91

=====

(5)
Computed, not measured: a relaxed structure of Ba2AgSb2 at the PBE-GGA level of DFT.

* total energy: -3.632 eV per atom
* magnetic moment: 0.4 μB per formula unit
* symmetry: P4/mbm
* relative energy among the computed polymorphs: 0.000 eV/atom

abc: 8.3080 8.3080 5.1224
angles: 90.00 90.00 90.00
With the nearest neighbours (Å) after each atom.
Atoms (fractional coordinates):
Ba 0.1780 0.3220 0.0000  6 Sb 3.45-3.62
Ba 0.3220 0.8220 0.0000  6 Sb 3.45-3.62
Ba 0.6780 0.1780 0.0000  6 Sb 3.45-3.62
Ba 0.8220 0.6780 0.0000  6 Sb 3.45-3.62
Ag 0.0000 0.0000 0.5000  4 Sb 3.28
Ag 0.5000 0.5000 0.5000  4 Sb 3.28
Sb 0.1251 0.6251 0.5000  1 Sb 2.94, 2 Ag 3.28
Sb 0.3749 0.1251 0.5000  1 Sb 2.94, 2 Ag 3.28
Sb 0.6251 0.8749 0.5000  1 Sb 2.94, 2 Ag 3.28
Sb 0.8749 0.3749 0.5000  1 Sb 2.94, 2 Ag 3.28

=====

(6)
Computed, not measured: a relaxed structure of Ba2ScAg3Sb4 at the PBE-GGA level of DFT.

* total energy: -4.126 eV per atom
* magnetic moment: 0.0 μB per formula unit
* symmetry: P-4m2

abc: 4.9185 4.9185 11.8315
angles: 90.00 90.00 90.00
With the nearest neighbours (Å) after each atom.
Atoms (fractional coordinates):
Ba 0.0000 0.5000 0.2318  8 Sb 3.68-3.82, 6 Ag 3.69-4.01, 2 Sc 4.01
Ba 0.5000 0.0000 0.7682  8 Sb 3.68-3.82, 6 Ag 3.69-4.01, 2 Sc 4.01
Sc 0.0000 0.0000 0.5000  4 Sb 2.93
Ag 0.0000 0.5000 0.8721  5 Sb 2.81-2.89
Ag 0.5000 0.0000 0.1279  5 Sb 2.81-2.89
Ag 0.5000 0.5000 0.5000  4 Sb 2.93
Sb 0.0000 0.0000 0.0000  4 Ag 2.89
Sb 0.0000 0.5000 0.6344  3 Ag 2.81-2.93, 2 Sc 2.93
Sb 0.5000 0.0000 0.3656  3 Ag 2.81-2.93, 2 Sc 2.93
Sb 0.5000 0.5000 0.0000  4 Ag 2.89

=====

(7)
Computed, not measured: a relaxed structure of Ba2AgSbSe4 at the PBE-GGA level of DFT.

* total energy: -4.098 eV per atom
* magnetic moment: 0.0 μB per formula unit
* symmetry: Imma

abc: 8.8339 8.8339 8.8339
angles: 121.51 118.32 90.17
With the nearest neighbours (Å) after each atom.
Atoms (fractional coordinates):
Ba 0.0000 0.0000 0.0000  6 Se 3.25-3.26
Ba 0.5000 0.0000 0.0000  6 Se 3.30
Ba 0.5000 0.0000 0.5000  6 Se 3.25-3.26
Ba 0.5000 0.5000 0.5000  6 Se 3.30
Ag 0.0000 0.5000 0.5000  6 Se 3.00-3.01
Ag 0.5000 0.5000 0.0000  6 Se 3.00-3.01
Sb 0.0000 0.0000 0.5000  6 Se 2.94-2.97
Sb 0.0000 0.5000 0.0000  6 Se 2.94-2.97
Se 0.2141 0.7399 0.4743  2 Sb 2.97, 1 Ag 3.00, 3 Ba 3.25-3.30
Se 0.2344 0.2601 0.9743  2 Sb 2.97, 1 Ag 3.00, 3 Ba 3.25-3.30
Se 0.2355 0.2563 0.5207  1 Sb 2.94, 2 Ag 3.01, 2 Ba 3.26
Se 0.2355 0.7148 0.9793  1 Sb 2.94, 2 Ag 3.01, 2 Ba 3.26
Se 0.7645 0.2852 0.0207  1 Sb 2.94, 2 Ag 3.01, 2 Ba 3.26
Se 0.7645 0.7437 0.4793  1 Sb 2.94, 2 Ag 3.01, 2 Ba 3.26
Se 0.7656 0.7399 0.0257  2 Sb 2.97, 1 Ag 3.00, 3 Ba 3.25-3.30
Se 0.7859 0.2601 0.5257  2 Sb 2.97, 1 Ag 3.00, 3 Ba 3.25-3.30

=====

(8)
Computed, not measured: a relaxed structure of BaAg2SbSe4 at the PBE-GGA level of DFT.

* total energy: -3.800 eV per atom
* magnetic moment: 0.0 μB per formula unit
* symmetry: I222

abc: 6.7953 6.7953 6.7953
angles: 116.58 110.83 101.36
With the nearest neighbours (Å) after each atom.
Atoms (fractional coordinates):
Ba 0.0000 0.0000 0.0000  8 Se 3.47-3.48
Ag 0.3194 0.8194 0.5000  2 Se 2.58
Ag 0.6806 0.1806 0.5000  2 Se 2.58
Sb 0.5000 0.5000 0.0000  4 Se 2.68
Se 0.1152 0.1051 0.5887  1 Ag 2.58, 1 Sb 2.68
Se 0.4836 0.8949 0.0101  1 Ag 2.58, 1 Sb 2.68
Se 0.5164 0.5265 0.4113  1 Ag 2.58, 1 Sb 2.68
Se 0.8848 0.4735 0.9899  1 Ag 2.58, 1 Sb 2.68

=====

(9)
Computed, not measured: a relaxed structure of Ba3Ag2SbSe6 at the PBE-GGA level of DFT.

* total energy: -3.918 eV per atom
* magnetic moment: 0.0 μB per formula unit
* symmetry: P-3m1

abc: 7.7308 7.7308 7.9369
angles: 90.00 90.00 120.00
With the nearest neighbours (Å) after each atom.
Atoms (fractional coordinates):
Ba 0.0000 0.0000 0.0000  6 Se 3.29
Ba 0.3333 0.6667 0.6112  3 Se 3.31
Ba 0.6667 0.3333 0.3888  3 Se 3.31
Ag 0.3333 0.6667 0.1230  3 Se 2.62
Ag 0.6667 0.3333 0.8770  3 Se 2.62
Sb 0.0000 0.0000 0.5000  6 Se 2.76
Se 0.1687 0.3373 0.3008  1 Ag 2.62, 1 Sb 2.76
Se 0.1687 0.8313 0.3008  1 Ag 2.62, 1 Sb 2.76
Se 0.3373 0.1687 0.6992  1 Ag 2.62, 1 Sb 2.76
Se 0.6627 0.8313 0.3008  1 Ag 2.62, 1 Sb 2.76
Se 0.8313 0.1687 0.6992  1 Ag 2.62, 1 Sb 2.76
Se 0.8313 0.6627 0.6992  1 Ag 2.62, 1 Sb 2.76

=====

(10)
Computed, not measured: a relaxed structure of Ba2Ag4Sn3Sb at the PBE-GGA level of DFT.

* total energy: -3.535 eV per atom
* magnetic moment: 0.0 μB per formula unit
* symmetry: P-4m2

abc: 4.8890 4.8890 11.5787
angles: 90.00 90.00 90.00
With the nearest neighbours (Å) after each atom.
Atoms (fractional coordinates):
Ba 0.0000 0.5000 0.2445  6 Sn 3.73-3.84, 8 Ag 3.73-3.74, 2 Sb 3.84
Ba 0.5000 0.0000 0.7555  6 Sn 3.73-3.84, 8 Ag 3.73-3.74, 2 Sb 3.84
Ag 0.0000 0.0000 0.0000  4 Sn 2.84
Ag 0.0000 0.5000 0.6347  3 Sn 2.79-2.90, 2 Sb 2.90
Ag 0.5000 0.0000 0.3653  3 Sn 2.79-2.90, 2 Sb 2.90
Ag 0.5000 0.5000 0.0000  4 Sn 2.84
Sn 0.0000 0.5000 0.8754  5 Ag 2.79-2.84
Sn 0.5000 0.0000 0.1246  5 Ag 2.79-2.84
Sn 0.5000 0.5000 0.5000  4 Ag 2.90
Sb 0.0000 0.0000 0.5000  4 Ag 2.90

=====

(11)
Computed, not measured: a relaxed structure of Ba2Ag4SnSb3 at the PBE-GGA level of DFT.

* total energy: -3.657 eV per atom
* magnetic moment: 0.0 μB per formula unit
* symmetry: P-4m2

abc: 4.8198 4.8198 11.9478
angles: 90.00 90.00 90.00
With the nearest neighbours (Å) after each atom.
Atoms (fractional coordinates):
Ba 0.0000 0.5000 0.2381  6 Sb 3.64-3.95, 8 Ag 3.72-3.73, 2 Sn 3.95
Ba 0.5000 0.0000 0.7619  6 Sb 3.64-3.95, 8 Ag 3.72-3.73, 2 Sn 3.95
Ag 0.0000 0.0000 0.0000  4 Sb 2.88
Ag 0.0000 0.5000 0.6367  3 Sb 2.77-2.91, 2 Sn 2.91
Ag 0.5000 0.0000 0.3633  3 Sb 2.77-2.91, 2 Sn 2.91
Ag 0.5000 0.5000 0.0000  4 Sb 2.88
Sn 0.0000 0.0000 0.5000  4 Ag 2.91
Sb 0.0000 0.5000 0.8686  5 Ag 2.77-2.88
Sb 0.5000 0.0000 0.1314  5 Ag 2.77-2.88
Sb 0.5000 0.5000 0.5000  4 Ag 2.91

=====

| no. | E_form (uncorrected) (meV/atom) |
| --- | --- |
| 1 | -401 |
| 2 | -337 |
| 3 | -497 |
| 4 | -313 |
| 5 | -644 |
| 6 | -604 |
| 7 | -1003 |
| 8 | -589 |
| 9 | -876 |
| 10 | -397 |
| 11 | -495 |